<w>
Material: FeIrF2
Method: DFT, PBE+U
State: relaxed

## Properties
Volume (Å³/f.u.): 66
Symmetry: R-3m
Total magnetization (μB/cell): 2.63

Lattice parameters (Å, degrees): 10.1794 10.1794 10.1794 15.58 15.58 15.58
Sites, in units of the cell vectors:
Fe (0.5000, 0.5000, 0.5000)
F (0.1243, 0.1243, 0.1243)
F (0.8757, 0.8757, 0.8757)
Ir (0.0000, 0.0000, 0.0000)


<x>
Material: FeIrF2
Method: DFT, PBE+U
State: relaxed

## Properties
Volume (Å³/f.u.): 56
Symmetry: I-42d
Total magnetization (μB/cell): 11.56

Lattice parameters (Å, degrees): 6.3226 6.3226 5.2839 53.25 53.25 90.00
Sites, in units of the cell vectors:
Fe (0.2500, 0.7500, 0.5000)
Fe (0.5000, 0.5000, 0.0000)
F (0.2101, 0.6250, 0.2500)
F (0.5399, 0.1250, 0.2500)
F (0.8750, 0.7899, 0.7500)
F (0.3750, 0.4601, 0.7500)
Ir (0.0000, 0.0000, 0.0000)
Ir (0.7500, 0.2500, 0.5000)


<y>
Material: FeIrF2
Method: DFT, PBE+U
State: relaxed

## Properties
Volume (Å³/f.u.): 51
Symmetry: Fm-3m
Total magnetization (μB/cell): 5.54

Lattice parameters (Å, degrees): 4.1594 4.1594 4.1594 60.00 60.00 60.00
Sites, in units of the cell vectors:
F (0.7500, 0.7500, 0.7500)
F (0.2500, 0.2500, 0.2500)
Fe (0.0000, 0.0000, 0.0000)
Ir (0.5000, 0.5000, 0.5000)


Which one sits at the bottom of the stability order? <y> does.


<w>
Material: FeIr3F
Method: DFT, PBE+U
State: relaxed

## Properties
Volume (Å³/f.u.): 87
Symmetry: Pm-3m
Total magnetization (μB/cell): 0.00

Lattice parameters (Å, degrees): 4.4295 4.4295 4.4295 90.00 90.00 90.00
Sites, in units of the cell vectors:
Fe (0.0000, 0.0000, 0.0000)
F (0.5000, 0.5000, 0.5000)
Ir (0.5000, 0.0000, 0.0000)
Ir (0.0000, 0.5000, 0.0000)
Ir (0.0000, 0.0000, 0.5000)


<x>
Material: FeIr3F
Method: DFT, PBE+U
State: relaxed

## Properties
Volume (Å³/f.u.): 77
Symmetry: Pm-3m
Total magnetization (μB/cell): 5.36

Lattice parameters (Å, degrees): 4.2469 4.2469 4.2469 90.00 90.00 90.00
Sites, in units of the cell vectors:
F (0.0000, 0.0000, 0.0000)
Ir (0.0000, 0.0000, 0.5000)
Ir (0.5000, 0.0000, 0.0000)
Ir (0.0000, 0.5000, 0.0000)
Fe (0.5000, 0.5000, 0.5000)


Which one sits at the bottom of the stability order? <w> does.


<w>
Material: Fe2IrF2
Method: DFT, PBE+U
State: relaxed

## Properties
Volume (Å³/f.u.): 63
Symmetry: I4/mmm
Total magnetization (μB/cell): 8.37

Lattice parameters (Å, degrees): 3.2598 3.2598 6.3489 75.12 75.12 90.00
Sites, in units of the cell vectors:
Ir (0.0000, 0.0000, 0.0000)
F (0.7500, 0.2500, 0.5000)
F (0.2500, 0.7500, 0.5000)
Fe (0.6302, 0.6302, 0.7396)
Fe (0.3698, 0.3698, 0.2604)


<x>
Material: Fe2IrF2
Method: DFT, PBE+U
State: relaxed

## Properties
Volume (Å³/f.u.): 66
Symmetry: P4/mbm
Total magnetization (μB/cell): 15.83

Lattice parameters (Å, degrees): 7.1302 7.1302 2.5878 90.00 90.00 90.00
Sites, in units of the cell vectors:
F (0.8853, 0.3853, 0.5000)
F (0.6147, 0.8853, 0.5000)
F (0.1147, 0.6147, 0.5000)
F (0.3853, 0.1147, 0.5000)
Fe (0.6593, 0.1593, 0.0000)
Fe (0.3407, 0.8407, 0.0000)
Fe (0.1593, 0.3407, 0.0000)
Fe (0.8407, 0.6593, 0.0000)
Ir (0.0000, 0.0000, 0.0000)
Ir (0.5000, 0.5000, 0.0000)


Which one sits at the bottom of the stability order? <x> does.


<w>
Material: FeIrF3
Method: DFT, PBE+U
State: relaxed

## Properties
Volume (Å³/f.u.): 67
Symmetry: Pm-3m
Total magnetization (μB/cell): 6.42

Lattice parameters (Å, degrees): 4.0642 4.0642 4.0642 90.00 90.00 90.00
Sites, in units of the cell vectors:
F (0.5000, 0.0000, 0.0000)
F (0.0000, 0.0000, 0.5000)
F (0.0000, 0.5000, 0.0000)
Fe (0.0000, 0.0000, 0.0000)
Ir (0.5000, 0.5000, 0.5000)


<x>
Material: FeIrF3
Method: DFT, PBE+U
State: relaxed

## Properties
Volume (Å³/f.u.): 76
Symmetry: Pm-3m
Total magnetization (μB/cell): 3.48

Lattice parameters (Å, degrees): 4.2314 4.2314 4.2314 90.00 90.00 90.00
Sites, in units of the cell vectors:
F (0.0000, 0.5000, 0.0000)
F (0.5000, 0.0000, 0.0000)
F (0.0000, 0.0000, 0.5000)
Ir (0.0000, 0.0000, 0.0000)
Fe (0.5000, 0.5000, 0.5000)


Which one sits at the bottom of the stability order? <x> does.


<w>
Material: KFe2F8
Method: DFT, PBE+U
State: relaxed

## Properties
Volume (Å³/f.u.): 181
Symmetry: C2/m
Total magnetization (μB/cell): 9.00

Lattice parameters (Å, degrees): 5.6271 6.1099 6.1099 60.23 95.25 95.25
Sites, in units of the cell vectors:
K (0.0000, 0.0000, 0.0000)
F (0.3715, 0.9260, 0.3646)
F (0.3715, 0.3646, 0.9260)
F (0.7318, 0.6320, 0.6320)
F (0.2045, 0.7990, 0.7990)
F (0.7955, 0.2010, 0.2010)
F (0.6285, 0.0740, 0.6354)
F (0.2682, 0.3680, 0.3680)
F (0.6285, 0.6354, 0.0740)
Fe (0.5170, 0.2733, 0.2733)
Fe (0.4830, 0.7267, 0.7267)


<x>
Material: KFe2F8
Method: DFT, PBE+U
State: relaxed

## Properties
Volume (Å³/f.u.): 185
Symmetry: P-3m1
Total magnetization (μB/cell): 8.96

Lattice parameters (Å, degrees): 3.8992 7.4089 7.4113 120.04 89.99 90.04
Sites, in units of the cell vectors:
F (0.7855, 0.3334, 0.6667)
F (0.7147, 0.8083, 0.1910)
F (0.2855, 0.1909, 0.3826)
F (0.2853, 0.1918, 0.8090)
F (0.7141, 0.3824, 0.1915)
F (0.2145, 0.6666, 0.3333)
F (0.2859, 0.6176, 0.8085)
F (0.7145, 0.8091, 0.6174)
Fe (0.7154, 0.6666, 0.3333)
Fe (0.2846, 0.3334, 0.6667)
K (0.0000, 0.0000, 0.0000)


Which one sits at the bottom of the stability order? <x> does.


<w>
Material: KFe2F6
Method: DFT, PBE+U
State: relaxed

## Properties
Volume (Å³/f.u.): 146
Symmetry: P-31m
Total magnetization (μB/cell): 9.00

Lattice parameters (Å, degrees): 5.4786 5.4786 5.6233 90.00 90.00 120.00
Sites, in units of the cell vectors:
F (0.6239, 0.0000, 0.3088)
F (0.6239, 0.6239, 0.6912)
F (0.0000, 0.6239, 0.3088)
F (0.0000, 0.3761, 0.6912)
F (0.3761, 0.0000, 0.6912)
F (0.3761, 0.3761, 0.3088)
Fe (0.3333, 0.6667, 0.5000)
Fe (0.6667, 0.3333, 0.5000)
K (0.0000, 0.0000, 0.0000)


<x>
Material: KFe2F6
Method: DFT, PBE+U
State: relaxed

## Properties
Volume (Å³/f.u.): 133
Symmetry: P4/m
Total magnetization (μB/cell): 45.00

Lattice parameters (Å, degrees): 12.8331 12.8331 4.0296 90.00 90.00 90.00
Sites, in units of the cell vectors:
F (0.9262, 0.7970, 0.0000)
F (0.1378, 0.0670, 0.5000)
F (0.7108, 0.5828, 0.0000)
F (0.7320, 0.2095, 0.5000)
F (0.0000, 0.5000, 0.0000)
F (0.7970, 0.0738, 0.0000)
F (0.2680, 0.7905, 0.5000)
F (0.2095, 0.2680, 0.5000)
F (0.9330, 0.1378, 0.5000)
F (0.5000, 0.0000, 0.0000)
F (0.3348, 0.0032, 0.5000)
F (0.0032, 0.6652, 0.5000)
F (0.4267, 0.3559, 0.5000)
F (0.2030, 0.9262, 0.0000)
F (0.8622, 0.9330, 0.5000)
F (0.1546, 0.5123, 0.5000)
F (0.7905, 0.7320, 0.5000)
F (0.9968, 0.3348, 0.5000)
F (0.3559, 0.5733, 0.5000)
F (0.6441, 0.4267, 0.5000)
F (0.6652, 0.9968, 0.5000)
F (0.4172, 0.7108, 0.0000)
F (0.5733, 0.6441, 0.5000)
F (0.8454, 0.4877, 0.5000)
F (0.0738, 0.2030, 0.0000)
F (0.5828, 0.2892, 0.0000)
F (0.2892, 0.4172, 0.0000)
F (0.0670, 0.8622, 0.5000)
F (0.4877, 0.1546, 0.5000)
F (0.5123, 0.8454, 0.5000)
Fe (0.0000, 0.5000, 0.5000)
Fe (0.5773, 0.2841, 0.5000)
Fe (0.2841, 0.4227, 0.5000)
Fe (0.5000, 0.0000, 0.5000)
Fe (0.0715, 0.2050, 0.5000)
Fe (0.2050, 0.9285, 0.5000)
Fe (0.9285, 0.7950, 0.5000)
Fe (0.7950, 0.0715, 0.5000)
Fe (0.4227, 0.7159, 0.5000)
Fe (0.7159, 0.5773, 0.5000)
K (0.3449, 0.1897, 0.0000)
K (0.6551, 0.8103, 0.0000)
K (0.5000, 0.5000, 0.0000)
K (0.1897, 0.6551, 0.0000)
K (0.8103, 0.3449, 0.0000)


Which one sits at the bottom of the stability order? <w> does.